(1)
{"formula": "BaZn2Hg", "functional": "PBE", "state": "relaxed", "formation_enthalpy_0k_kj_per_mol_fu": -38.0, "m_tot_mub_per_cell": 0.000, "volume_a3_per_fu": 106, "sg": "P4mm (99)", "lattice_angstrom": [[3.797, 0.000, 0.000], [0.000, 3.797, 0.000], [0.000, 0.000, 7.374]], "species": ["Ba", "Zn", "Zn", "Hg"], "frac_coords": [[0.000, 0.000, 0.000], [0.000, 0.000, 0.540], [0.500, 0.500, 0.694], [0.500, 0.500, 0.315]]}

=====

(2)
{"formula": "HfTiCo2", "functional": "PBE", "state": "relaxed", "formation_enthalpy_0k_kj_per_mol_fu": 158.6, "de_polymorph_mev_per_atom": 819, "m_tot_mub_per_cell": 1.768, "volume_a3_per_fu": 66, "sg": "I-42d (122)", "lattice_angstrom": [[-2.024, 2.024, 8.006], [2.024, -2.024, 8.006], [2.024, 2.024, -8.006]], "species": ["Hf", "Hf", "Ti", "Ti", "Co", "Co", "Co", "Co"], "frac_coords": [[0.000, 0.000, 0.000], [0.750, 0.250, 0.500], [0.250, 0.750, 0.500], [0.500, 0.500, 0.000], [0.188, 0.625, 0.063], [0.375, 0.438, 0.563], [0.562, 0.125, 0.937], [0.875, 0.812, 0.437]]}